Below is a relaxed structure of TiAsPbSe2, with properties calculated at the PBE level.

The space group is P4/mmm (No. 123) and the conventional cell measures 4.992, 4.992 and 4.995 Å, with angles of 90.00, 90.00 and 90.00 degrees. Symmetry generates all atoms from Ti at (0.000, 0.000, 0.000), As at (0.000, 0.000, 0.500), Pb at (0.500, 0.500, 0.500) and Se at (0.000, 0.500, 0.000).

The calculation puts the density of states at the Fermi level at 1.53 states/eV/cell. The calculation puts the density at 6.51 g cm⁻³.



Below is a relaxed structure of SnHgS, with properties calculated at the PBE level.

The space group is P3m1 (No. 156) and the conventional cell measures 3.7883, 3.7883 and 7.6638 Å, with angles of 90.00, 90.00 and 120.00 degrees. Symmetry generates all atoms from Sn at (0.0000, 0.0000, 0.0000), Hg at (0.3333, 0.6667, 0.6087) and S at (0.6667, 0.3333, 0.1903).

The calculation puts the density at 6.13 g cm⁻³.



Below is a relaxed structure of Ac8Pr5Ho, with properties calculated at the PBE level.

The space group is C2 (No. 5) and the conventional cell measures 13.996, 11.825 and 9.842 Å, with angles of 90.00, 134.13 and 90.00 degrees. Symmetry generates all atoms from Ac at (0.054, 0.000, 0.355), Ac at (0.110, 0.324, 0.274), Ac at (0.203, 0.591, 0.149), Ac at (0.242, 0.022, 0.191), Pr at (0.000, 0.287, 0.500), Pr at (0.065, 0.646, 0.374), Pr at (0.229, 0.805, 0.909) and Ho at (0.000, 0.819, 0.000).

The calculation puts the density of states at the Fermi level at 44.23 states/eV/cell. The calculation puts the density at 7.63 g cm⁻³.



Below is a relaxed structure of HfAsCBr2, with properties calculated at the PBE level.

The space group is P4/mmm (No. 123) and the conventional cell measures 4.508, 4.508 and 4.545 Å, with angles of 90.00, 90.00 and 90.00 degrees. Symmetry generates all atoms from Hf at (0.000, 0.000, 0.000), As at (0.500, 0.500, 0.000), C at (0.500, 0.500, 0.500) and Br at (0.000, 0.500, 0.500).

The calculation puts the density of states at the Fermi level at 2.60 states/eV/cell. The calculation puts the density at 7.65 g cm⁻³.



Below is a relaxed structure of CaLa2InOs, with properties calculated at the PBE level.

The space group is P4/mmm (No. 123) and the conventional cell measures 5.485, 5.485 and 5.628 Å, with angles of 90.00, 90.00 and 90.00 degrees. Symmetry generates all atoms from Ca at (0.000, 0.000, 0.000), La at (0.000, 0.500, 0.500), In at (0.500, 0.500, 0.000) and Os at (0.000, 0.000, 0.500).

The calculation puts the density of states at the Fermi level at 6.35 states/eV/cell. The calculation puts the density at 6.11 g cm⁻³.



Below is a relaxed structure of LaCr2N, with properties calculated at the PBE level.

The space group is Fd-3m (No. 227, origin choice 2) and the conventional cell measures 8.461, 8.461 and 8.461 Å, with angles of 90.00, 90.00 and 90.00 degrees. Symmetry generates all atoms from La at (0.125, 0.125, 0.125), Cr at (0.000, 0.000, 0.500) and N at (0.125, 0.125, 0.625).

The calculation puts the density of states at the Fermi level at 26.78 states/eV/cell. The calculation puts the density at 5.64 g cm⁻³.



| no. | total energy (eV per atom) |
| --- | --- |
| 1 | -5.009 |
| 2 | -3.034 |
| 3 | -4.210 |
| 4 | -4.395 |
| 5 | -5.282 |
| 6 | -8.149 |